No. 1
# PBE Th2ZnGa3Pt4, optimized geometry
# E_form, eV/atom: -0.915
# DOS(E_F), states/eV/f.u.: 7.2
# Space-group type: P-4m2
data_Th2ZnGa3Pt4
_chemical_formula_sum 'Th2 Zn1 Ga3 Pt4'
_cell_length_a 4.2484
_cell_length_b 4.2484
_cell_length_c 10.7037
_cell_angle_alpha 90.00
_cell_angle_beta 90.00
_cell_angle_gamma 90.00
_space_group_name_H-M_alt 'P 1'
_space_group_IT_number 1
_space_group_name_Hall 'P 1'
loop_
_atom_site_label
_atom_site_fract_x
_atom_site_fract_y
_atom_site_fract_z
_atom_site_occupancy
Th1 0.0000 0.5000 0.2429 1
Th2 0.5000 0.0000 0.7571 1
Zn1 0.5000 0.5000 0.0000 1
Ga1 0.0000 0.0000 0.0000 1
Ga2 0.0000 0.5000 0.6297 1
Ga3 0.5000 0.0000 0.3703 1
Pt1 0.0000 0.0000 0.5000 1
Pt2 0.0000 0.5000 0.8601 1
Pt3 0.5000 0.0000 0.1399 1
Pt4 0.5000 0.5000 0.5000 1

No. 2
# PBE V2FeH6, optimized geometry
# DOS(E_F), states/eV/f.u.: 5.1
# Space-group type: Immm
# E_tot, eV/cell: -47.763
data_V2FeH6
_chemical_formula_sum 'V2 Fe1 H6'
_cell_length_a 5.0644
_cell_length_b 5.0644
_cell_length_c 5.0644
_cell_angle_alpha 146.37
_cell_angle_beta 131.76
_cell_angle_gamma 60.09
_space_group_name_H-M_alt 'P 1'
_space_group_IT_number 1
_space_group_name_Hall 'P 1'
loop_
_atom_site_label
_atom_site_fract_x
_atom_site_fract_y
_atom_site_fract_z
_atom_site_occupancy
V1 0.1656 0.1656 0.0000 1
V2 0.8344 0.8344 0.0000 1
Fe1 0.5000 0.5000 0.0000 1
H1 0.0946 0.3371 0.7575 1
H2 0.2664 0.0000 0.2664 1
H3 0.4204 0.6629 0.7575 1
H4 0.5796 0.3371 0.2425 1
H5 0.7336 0.0000 0.7336 1
H6 0.9054 0.6629 0.2425 1

No. 3
# PBE Ca2MgNpN4, optimized geometry
# DOS(E_F), states/eV/f.u.: 3.5
# Space-group type: P2/m
# ΔE_f (raw), meV/atom: -1074
data_Ca2MgNpN4
_chemical_formula_sum 'Ca2 Mg1 Np1 N4'
_cell_length_a 5.5976
_cell_length_b 3.4894
_cell_length_c 5.8648
_cell_angle_alpha 90.00
_cell_angle_beta 107.08
_cell_angle_gamma 90.00
_space_group_name_H-M_alt 'P 1'
_space_group_IT_number 1
_space_group_name_Hall 'P 1'
loop_
_atom_site_label
_atom_site_fract_x
_atom_site_fract_y
_atom_site_fract_z
_atom_site_occupancy
Ca1 0.0000 0.0000 0.0000 1
Ca2 0.5000 0.5000 0.0000 1
Mg1 0.0000 0.5000 0.5000 1
Np1 0.5000 0.0000 0.5000 1
N1 0.2665 0.5000 0.2840 1
N2 0.2727 0.0000 0.7154 1
N3 0.7273 0.0000 0.2846 1
N4 0.7335 0.5000 0.7160 1

No. 4
# PBE AcUO4F, optimized geometry
# DOS(E_F), states/eV/f.u.: 0.0
# Space-group type: C2/m
# ΔE_f (raw), meV/atom: -3247
data_AcUO4F
_chemical_formula_sum 'Ac2 U2 O8 F2'
_cell_length_a 6.4508
_cell_length_b 6.4508
_cell_length_c 6.9596
_cell_angle_alpha 94.40
_cell_angle_beta 94.40
_cell_angle_gamma 72.53
_space_group_name_H-M_alt 'P 1'
_space_group_IT_number 1
_space_group_name_Hall 'P 1'
loop_
_atom_site_label
_atom_site_fract_x
_atom_site_fract_y
_atom_site_fract_z
_atom_site_occupancy
Ac1 0.1934 0.1934 0.0882 1
Ac2 0.8066 0.8066 0.9118 1
U1 0.3630 0.3630 0.6309 1
U2 0.6370 0.6370 0.3691 1
O1 0.1387 0.4921 0.8309 1
O2 0.2033 0.2033 0.4758 1
O3 0.4407 0.4407 0.3232 1
O4 0.4921 0.1387 0.8309 1
O5 0.5079 0.8613 0.1691 1
O6 0.5593 0.5593 0.6768 1
O7 0.7967 0.7967 0.5242 1
O8 0.8613 0.5079 0.1691 1
F1 0.0285 0.0285 0.8200 1
F2 0.9715 0.9715 0.1800 1

No. 5
# PBE NbCoSe2N, optimized geometry
# DOS(E_F), states/eV/f.u.: 3.8
# Space-group type: P4/mmm
# Energy above the most stable polymorph in this dataset, meV per atom: 0
# ΔE_f (raw), meV/atom: 332
data_NbCoSe2N
_chemical_formula_sum 'Nb1 Co1 Se2 N1'
_cell_length_a 4.8919
_cell_length_b 4.8919
_cell_length_c 3.3775
_cell_angle_alpha 90.00
_cell_angle_beta 90.00
_cell_angle_gamma 90.00
_space_group_name_H-M_alt 'P 1'
_space_group_IT_number 1
_space_group_name_Hall 'P 1'
loop_
_atom_site_label
_atom_site_fract_x
_atom_site_fract_y
_atom_site_fract_z
_atom_site_occupancy
Nb1 0.0000 0.0000 0.0000 1
Co1 0.5000 0.5000 0.5000 1
Se1 0.0000 0.5000 0.5000 1
Se2 0.5000 0.0000 0.5000 1
N1 0.5000 0.5000 0.0000 1

No. 6
# PBE Ac3Pm3Ho2, optimized geometry
# E_form, eV/atom: 0.112
# DOS(E_F), states/eV/f.u.: 15.5
# Space-group type: Pmmm
data_Ac3Pm3Ho2
_chemical_formula_sum 'Ac3 Pm3 Ho2'
_cell_length_a 6.1243
_cell_length_b 6.1373
_cell_length_c 7.9159
_cell_angle_alpha 90.00
_cell_angle_beta 90.00
_cell_angle_gamma 90.00
_space_group_name_H-M_alt 'P 1'
_space_group_IT_number 1
_space_group_name_Hall 'P 1'
loop_
_atom_site_label
_atom_site_fract_x
_atom_site_fract_y
_atom_site_fract_z
_atom_site_occupancy
Ac1 0.0000 0.0000 0.0000 1
Ac2 0.0000 0.0000 0.5000 1
Ac3 0.5000 0.5000 0.0000 1
Pm1 0.5000 0.0000 0.2589 1
Pm2 0.5000 0.0000 0.7411 1
Pm3 0.5000 0.5000 0.5000 1
Ho1 0.0000 0.5000 0.2591 1
Ho2 0.0000 0.5000 0.7409 1

No. 7
# PBE NdMgCuPd, optimized geometry
# E_form, eV/atom: -0.424
# DOS(E_F), states/eV/f.u.: 3.1
# Space-group type: F-43m
data_NdMgCuPd
_chemical_formula_sum 'Nd4 Mg4 Cu4 Pd4'
_cell_length_a 6.8836
_cell_length_b 6.8836
_cell_length_c 6.8836
_cell_angle_alpha 90.00
_cell_angle_beta 90.00
_cell_angle_gamma 90.00
_space_group_name_H-M_alt 'P 1'
_space_group_IT_number 1
_space_group_name_Hall 'P 1'
loop_
_atom_site_label
_atom_site_fract_x
_atom_site_fract_y
_atom_site_fract_z
_atom_site_occupancy
Nd1 0.0000 0.0000 0.0000 1
Nd2 0.0000 0.5000 0.5000 1
Nd3 0.5000 0.0000 0.5000 1
Nd4 0.5000 0.5000 0.0000 1
Mg1 0.0000 0.0000 0.5000 1
Mg2 0.0000 0.5000 0.0000 1
Mg3 0.5000 0.0000 0.0000 1
Mg4 0.5000 0.5000 0.5000 1
Cu1 0.2500 0.2500 0.2500 1
Cu2 0.2500 0.7500 0.7500 1
Cu3 0.7500 0.2500 0.7500 1
Cu4 0.7500 0.7500 0.2500 1
Pd1 0.2500 0.2500 0.7500 1
Pd2 0.2500 0.7500 0.2500 1
Pd3 0.7500 0.2500 0.2500 1
Pd4 0.7500 0.7500 0.7500 1

No. 8
# PBE NaTl2Cd2, optimized geometry
# E_form, eV/atom: -0.004
# DOS(E_F), states/eV/f.u.: 1.8
# Space-group type: Cmmm
# Energy above the most stable polymorph in this dataset, meV per atom: 37
data_NaTl2Cd2
_chemical_formula_sum 'Na2 Tl4 Cd4'
_cell_length_a 3.4216
_cell_length_b 18.0988
_cell_length_c 4.5555
_cell_angle_alpha 90.00
_cell_angle_beta 90.00
_cell_angle_gamma 90.00
_space_group_name_H-M_alt 'P 1'
_space_group_IT_number 1
_space_group_name_Hall 'P 1'
loop_
_atom_site_label
_atom_site_fract_x
_atom_site_fract_y
_atom_site_fract_z
_atom_site_occupancy
Na1 0.0000 0.0000 0.0000 1
Na2 0.5000 0.5000 0.0000 1
Tl1 0.0000 0.3994 0.5000 1
Tl2 0.0000 0.6006 0.5000 1
Tl3 0.5000 0.1006 0.5000 1
Tl4 0.5000 0.8994 0.5000 1
Cd1 0.0000 0.1827 0.0000 1
Cd2 0.0000 0.8173 0.0000 1
Cd3 0.5000 0.3173 0.0000 1
Cd4 0.5000 0.6827 0.0000 1

No. 9
# PBE NpAgH8Ir2, optimized geometry
# DOS(E_F), states/eV/f.u.: 10.2
# Space-group type: C2/m
# E_tot, eV/cell: -60.020
data_NpAgH8Ir2
_chemical_formula_sum 'Np1 Ag1 H8 Ir2'
_cell_length_a 4.8456
_cell_length_b 4.8456
_cell_length_c 6.0560
_cell_angle_alpha 109.63
_cell_angle_beta 109.63
_cell_angle_gamma 53.80
_space_group_name_H-M_alt 'P 1'
_space_group_IT_number 1
_space_group_name_Hall 'P 1'
loop_
_atom_site_label
_atom_site_fract_x
_atom_site_fract_y
_atom_site_fract_z
_atom_site_occupancy
Np1 0.0000 0.0000 0.0000 1
Ag1 0.5000 0.5000 0.5000 1
H1 0.0587 0.5598 0.1616 1
H2 0.2261 0.2261 0.3802 1
H3 0.4258 0.4258 0.8466 1
H4 0.4402 0.9413 0.8384 1
H5 0.5598 0.0587 0.1616 1
H6 0.5742 0.5742 0.1534 1
H7 0.7739 0.7739 0.6198 1
H8 0.9413 0.4402 0.8384 1
Ir1 0.2246 0.2246 0.6591 1
Ir2 0.7754 0.7754 0.3409 1

No. 10
# PBE Ac2TlIn, optimized geometry
# E_form, eV/atom: -0.388
# DOS(E_F), states/eV/f.u.: 3.5
# Space-group type: P4/mmm
# Energy above the most stable polymorph in this dataset, meV per atom: 0
data_Ac2TlIn
_chemical_formula_sum 'Ac2 Tl1 In1'
_cell_length_a 4.1006
_cell_length_b 4.1006
_cell_length_c 8.3105
_cell_angle_alpha 90.00
_cell_angle_beta 90.00
_cell_angle_gamma 90.00
_space_group_name_H-M_alt 'P 1'
_space_group_IT_number 1
_space_group_name_Hall 'P 1'
loop_
_atom_site_label
_atom_site_fract_x
_atom_site_fract_y
_atom_site_fract_z
_atom_site_occupancy
Ac1 0.0000 0.0000 0.2464 1
Ac2 0.0000 0.0000 0.7536 1
Tl1 0.5000 0.5000 0.5000 1
In1 0.5000 0.5000 0.0000 1

No. 11
# PBE Li2ZnGe, optimized geometry
# E_form, eV/atom: -0.233
# DOS(E_F), states/eV/f.u.: 1.2
# Space-group type: Fm-3m
data_Li2ZnGe
_chemical_formula_sum 'Li8 Zn4 Ge4'
_cell_length_a 6.1922
_cell_length_b 6.1922
_cell_length_c 6.1922
_cell_angle_alpha 90.00
_cell_angle_beta 90.00
_cell_angle_gamma 90.00
_space_group_name_H-M_alt 'P 1'
_space_group_IT_number 1
_space_group_name_Hall 'P 1'
loop_
_atom_site_label
_atom_site_fract_x
_atom_site_fract_y
_atom_site_fract_z
_atom_site_occupancy
Li1 0.2500 0.2500 0.2500 1
Li2 0.2500 0.2500 0.7500 1
Li3 0.2500 0.7500 0.2500 1
Li4 0.2500 0.7500 0.7500 1
Li5 0.7500 0.2500 0.2500 1
Li6 0.7500 0.2500 0.7500 1
Li7 0.7500 0.7500 0.2500 1
Li8 0.7500 0.7500 0.7500 1
Zn1 0.0000 0.0000 0.0000 1
Zn2 0.0000 0.5000 0.5000 1
Zn3 0.5000 0.0000 0.5000 1
Zn4 0.5000 0.5000 0.0000 1
Ge1 0.0000 0.0000 0.5000 1
Ge2 0.0000 0.5000 0.0000 1
Ge3 0.5000 0.0000 0.0000 1
Ge4 0.5000 0.5000 0.5000 1

No. 12
# PBE TbCeTc4, optimized geometry
# E_form, eV/atom: -0.057
# DOS(E_F), states/eV/f.u.: 13.6
# Space-group type: F-43m
data_TbCeTc4
_chemical_formula_sum 'Tb1 Ce1 Tc4'
_cell_length_a 5.4265
_cell_length_b 5.4265
_cell_length_c 5.4265
_cell_angle_alpha 60.00
_cell_angle_beta 60.00
_cell_angle_gamma 60.00
_space_group_name_H-M_alt 'P 1'
_space_group_IT_number 1
_space_group_name_Hall 'P 1'
loop_
_atom_site_label
_atom_site_fract_x
_atom_site_fract_y
_atom_site_fract_z
_atom_site_occupancy
Tb1 0.0000 0.0000 0.0000 1
Ce1 0.7500 0.7500 0.7500 1
Tc1 0.3749 0.3749 0.3749 1
Tc2 0.3749 0.3749 0.8754 1
Tc3 0.3749 0.8754 0.3749 1
Tc4 0.8754 0.3749 0.3749 1

No. 13
# PBE NaYZr, optimized geometry
# E_form, eV/atom: 0.238
# DOS(E_F), states/eV/f.u.: 3.6
# Space-group type: Pm
# Energy above the most stable polymorph in this dataset, meV per atom: 144
data_NaYZr
_chemical_formula_sum 'Na2 Y2 Zr2'
_cell_length_a 5.8689
_cell_length_b 3.3324
_cell_length_c 8.9909
_cell_angle_alpha 90.00
_cell_angle_beta 91.27
_cell_angle_gamma 90.00
_space_group_name_H-M_alt 'P 1'
_space_group_IT_number 1
_space_group_name_Hall 'P 1'
loop_
_atom_site_label
_atom_site_fract_x
_atom_site_fract_y
_atom_site_fract_z
_atom_site_occupancy
Na1 0.0000 0.0000 0.0000 1
Na2 0.5003 0.5000 0.0012 1
Y1 0.3279 0.0000 0.3505 1
Y2 0.6660 0.0000 0.6511 1
Zr1 0.1589 0.5000 0.6362 1
Zr2 0.8349 0.5000 0.3653 1

No. 14
# PBE Zr3ZnPd4, optimized geometry
# E_form, eV/atom: -0.575
# DOS(E_F), states/eV/f.u.: 6.8
# Space-group type: Pmma
data_Zr3ZnPd4
_chemical_formula_sum 'Zr6 Zn2 Pd8'
_cell_length_a 9.6501
_cell_length_b 5.9750
_cell_length_c 4.9319
_cell_angle_alpha 90.00
_cell_angle_beta 90.00
_cell_angle_gamma 90.00
_space_group_name_H-M_alt 'P 1'
_space_group_IT_number 1
_space_group_name_Hall 'P 1'
loop_
_atom_site_label
_atom_site_fract_x
_atom_site_fract_y
_atom_site_fract_z
_atom_site_occupancy
Zr1 0.0000 0.0000 0.0000 1
Zr2 0.2500 0.0000 0.4415 1
Zr3 0.2500 0.5000 0.4147 1
Zr4 0.5000 0.0000 0.0000 1
Zr5 0.7500 0.0000 0.5585 1
Zr6 0.7500 0.5000 0.5853 1
Zn1 0.0000 0.5000 0.0000 1
Zn2 0.5000 0.5000 0.0000 1
Pd1 0.0000 0.2531 0.5000 1
Pd2 0.0000 0.7469 0.5000 1
Pd3 0.2500 0.2526 0.9189 1
Pd4 0.2500 0.7474 0.9189 1
Pd5 0.5000 0.2531 0.5000 1
Pd6 0.5000 0.7469 0.5000 1
Pd7 0.7500 0.2526 0.0811 1
Pd8 0.7500 0.7474 0.0811 1

No. 15
# PBE BaAcTcN4, optimized geometry
# DOS(E_F), states/eV/f.u.: 0.0
# Space-group type: P2_1/m
# ΔE_f (raw), meV/atom: -738
data_BaAcTcN4
_chemical_formula_sum 'Ba2 Ac2 Tc2 N8'
_cell_length_a 6.3377
_cell_length_b 5.9620
_cell_length_c 7.6257
_cell_angle_alpha 90.00
_cell_angle_beta 106.58
_cell_angle_gamma 90.00
_space_group_name_H-M_alt 'P 1'
_space_group_IT_number 1
_space_group_name_Hall 'P 1'
loop_
_atom_site_label
_atom_site_fract_x
_atom_site_fract_y
_atom_site_fract_z
_atom_site_occupancy
Ba1 0.2170 0.2500 0.4270 1
Ba2 0.7830 0.7500 0.5730 1
Ac1 0.2766 0.2500 0.9463 1
Ac2 0.7234 0.7500 0.0537 1
Tc1 0.2633 0.7500 0.1870 1
Tc2 0.7367 0.2500 0.8130 1
N1 0.0782 0.7500 0.3326 1
N2 0.0909 0.7500 0.9520 1
N3 0.4464 0.5068 0.2228 1
N4 0.4464 0.9932 0.2228 1
N5 0.5536 0.0068 0.7772 1
N6 0.5536 0.4932 0.7772 1
N7 0.9091 0.2500 0.0480 1
N8 0.9218 0.2500 0.6674 1

No. 16
# PBE RbBi3Se, optimized geometry
# DOS(E_F), states/eV/f.u.: 8.8
# Space-group type: Pm-3m
# Energy above the most stable polymorph in this dataset, meV per atom: 1319
# ΔE_f (raw), meV/atom: 1482
data_RbBi3Se
_chemical_formula_sum 'Rb1 Bi3 Se1'
_cell_length_a 6.2130
_cell_length_b 6.2130
_cell_length_c 6.2130
_cell_angle_alpha 90.00
_cell_angle_beta 90.00
_cell_angle_gamma 90.00
_space_group_name_H-M_alt 'P 1'
_space_group_IT_number 1
_space_group_name_Hall 'P 1'
loop_
_atom_site_label
_atom_site_fract_x
_atom_site_fract_y
_atom_site_fract_z
_atom_site_occupancy
Rb1 0.0000 0.0000 0.0000 1
Bi1 0.0000 0.0000 0.5000 1
Bi2 0.0000 0.5000 0.0000 1
Bi3 0.5000 0.0000 0.0000 1
Se1 0.5000 0.5000 0.5000 1

No. 17
# PBE TaSb2Mo, optimized geometry
# DOS(E_F), states/eV/f.u.: 2.9
# Space-group type: Imm2
# ΔE_f (raw), meV/atom: 342
data_TaSb2Mo
_chemical_formula_sum 'Ta2 Sb4 Mo2'
_cell_length_a 3.5448
_cell_length_b 4.7313
_cell_length_c 9.4670
_cell_angle_alpha 90.00
_cell_angle_beta 90.00
_cell_angle_gamma 90.00
_space_group_name_H-M_alt 'P 1'
_space_group_IT_number 1
_space_group_name_Hall 'P 1'
loop_
_atom_site_label
_atom_site_fract_x
_atom_site_fract_y
_atom_site_fract_z
_atom_site_occupancy
Ta1 0.0000 0.0000 0.0000 1
Ta2 0.5000 0.5000 0.5000 1
Sb1 0.0000 0.0000 0.4700 1
Sb2 0.0000 0.5000 0.2487 1
Sb3 0.5000 0.0000 0.7487 1
Sb4 0.5000 0.5000 0.9700 1
Mo1 0.0000 0.5000 0.7295 1
Mo2 0.5000 0.0000 0.2295 1

No. 18
# PBE CuS3Br, optimized geometry
# DOS(E_F), states/eV/f.u.: 6.5
# Space-group type: Pm-3m
# Energy above the most stable polymorph in this dataset, meV per atom: 544
# ΔE_f (raw), meV/atom: 784
data_CuS3Br
_chemical_formula_sum 'Cu1 S3 Br1'
_cell_length_a 4.5558
_cell_length_b 4.5558
_cell_length_c 4.5558
_cell_angle_alpha 90.00
_cell_angle_beta 90.00
_cell_angle_gamma 90.00
_space_group_name_H-M_alt 'P 1'
_space_group_IT_number 1
_space_group_name_Hall 'P 1'
loop_
_atom_site_label
_atom_site_fract_x
_atom_site_fract_y
_atom_site_fract_z
_atom_site_occupancy
Cu1 0.0000 0.0000 0.0000 1
S1 0.0000 0.0000 0.5000 1
S2 0.0000 0.5000 0.0000 1
S3 0.5000 0.0000 0.0000 1
Br1 0.5000 0.5000 0.5000 1

No. 19
# PBE LiAlS4, optimized geometry
# Space-group type: C2/c
# ΔE_f (raw), meV/atom: -611
data_LiAlS4
_chemical_formula_sum 'Li2 Al2 S8'
_cell_length_a 13.0256
_cell_length_b 13.0256
_cell_length_c 5.8109
_cell_angle_alpha 90.04
_cell_angle_beta 90.04
_cell_angle_gamma 153.66
_space_group_name_H-M_alt 'P 1'
_space_group_IT_number 1
_space_group_name_Hall 'P 1'
loop_
_atom_site_label
_atom_site_fract_x
_atom_site_fract_y
_atom_site_fract_z
_atom_site_occupancy
Li1 0.0004 0.9996 0.2500 1
Li2 0.9996 0.0004 0.7500 1
Al1 0.5001 0.4999 0.2500 1
Al2 0.4999 0.5001 0.7500 1
S1 0.1465 0.5355 0.7684 1
S2 0.2346 0.3271 0.4992 1
S3 0.3271 0.2346 0.9992 1
S4 0.4645 0.8535 0.7316 1
S5 0.5355 0.1465 0.2684 1
S6 0.6729 0.7654 0.0008 1
S7 0.7654 0.6729 0.5008 1
S8 0.8535 0.4645 0.2316 1